No. 1
A plane-wave DFT calculation with PBE-GGA was carried out for an optimized crystal structure of Na2MnS2.

```
data_Na2MnS2
_chemical_formula_sum 'Na4 Mn2 S4'
_cell_length_a 6.853
_cell_length_b 6.853
_cell_length_c 4.128
_cell_angle_alpha 90.00
_cell_angle_beta 90.00
_cell_angle_gamma 90.00
_space_group_name_H-M_alt 'P 1'
_space_group_IT_number 1
loop_
_space_group_symop_operation_xyz
'x,y,z'
loop_
_atom_site_label
_atom_site_type_symbol
_atom_site_fract_x
_atom_site_fract_y
_atom_site_fract_z
Na1 Na 0.638 0.862 0.500
Na2 Na 0.138 0.638 0.500
Na3 Na 0.362 0.138 0.500
Na4 Na 0.862 0.362 0.500
S1 S 0.681 0.181 0.000
S2 S 0.181 0.319 0.000
S3 S 0.819 0.681 0.000
S4 S 0.319 0.819 0.000
Mn1 Mn 0.500 0.500 0.000
Mn2 Mn 0.000 0.000 0.000
```

Properties
Total magnetization: 8.4 μB/cell
Volume: 19.4 A^3/atom
Mass density: 2.83 g/cm3
Formation energy from raw total energies: -0.656 eV/atom

No. 2
A plane-wave DFT calculation with PBE-GGA was carried out for an optimized crystal structure of NaMnS3.

```
data_NaMnS3
_chemical_formula_sum 'Na1 Mn1 S3'
_cell_length_a 4.514
_cell_length_b 4.514
_cell_length_c 4.514
_cell_angle_alpha 90.00
_cell_angle_beta 90.00
_cell_angle_gamma 90.00
_space_group_name_H-M_alt 'P 1'
_space_group_IT_number 1
loop_
_space_group_symop_operation_xyz
'x,y,z'
loop_
_atom_site_label
_atom_site_type_symbol
_atom_site_fract_x
_atom_site_fract_y
_atom_site_fract_z
S1 S 0.500 0.000 0.000
S2 S 0.000 0.000 0.500
S3 S 0.000 0.500 0.000
Mn1 Mn 0.000 0.000 0.000
Na1 Na 0.500 0.500 0.500
```

Properties
Total magnetization: 0.0 μB/cell
Polymorph energy (0 for the lowest one): 0.0 meV per atom
Volume: 18.4 A^3/atom
Mass density: 3.14 g/cm3
Formation energy from raw total energies: -0.120 eV/atom

No. 3
A plane-wave DFT calculation with PBE-GGA was carried out for an optimized crystal structure of NaMn3S.

```
data_NaMn3S
_chemical_formula_sum 'Na1 Mn3 S1'
_cell_length_a 4.454
_cell_length_b 4.454
_cell_length_c 4.454
_cell_angle_alpha 90.00
_cell_angle_beta 90.00
_cell_angle_gamma 90.00
_space_group_name_H-M_alt 'P 1'
_space_group_IT_number 1
loop_
_space_group_symop_operation_xyz
'x,y,z'
loop_
_atom_site_label
_atom_site_type_symbol
_atom_site_fract_x
_atom_site_fract_y
_atom_site_fract_z
S1 S 0.000 0.000 0.000
Na1 Na 0.500 0.500 0.500
Mn1 Mn 0.000 0.000 0.500
Mn2 Mn 0.500 0.000 0.000
Mn3 Mn 0.000 0.500 0.000
```

Properties
Total magnetization: 10.0 μB/cell
Polymorph energy (0 for the lowest one): 0.0 meV per atom
Volume: 17.7 A^3/atom
Mass density: 4.13 g/cm3
Formation energy from raw total energies: 0.289 eV/atom

No. 4
A plane-wave DFT calculation with PBE-GGA was carried out for an optimized crystal structure of NaMn3S.

```
data_NaMn3S
_chemical_formula_sum 'Na1 Mn3 S1'
_cell_length_a 4.757
_cell_length_b 4.757
_cell_length_c 4.757
_cell_angle_alpha 90.00
_cell_angle_beta 90.00
_cell_angle_gamma 90.00
_space_group_name_H-M_alt 'P 1'
_space_group_IT_number 1
loop_
_space_group_symop_operation_xyz
'x,y,z'
loop_
_atom_site_label
_atom_site_type_symbol
_atom_site_fract_x
_atom_site_fract_y
_atom_site_fract_z
Mn1 Mn 0.500 0.000 0.000
Mn2 Mn 0.000 0.000 0.500
Mn3 Mn 0.000 0.500 0.000
S1 S 0.500 0.500 0.500
Na1 Na 0.000 0.000 0.000
```

Properties
Total magnetization: 12.1 μB/cell
Polymorph energy (0 for the lowest one): 1374.8 meV per atom
Volume: 21.5 A^3/atom
Mass density: 3.39 g/cm3
Formation energy from raw total energies: 1.664 eV/atom